# CoAs2BrO | Alexandria via LeMat-Bulk | GGA+U | optimized geometry
# Relative energy among the computed polymorphs ... 0 meV/atom
# Crystal system ... tetragonal
data_CoAs2BrO
_chemical_formula_sum 'Co1 As2 Br1 O1'
_cell_length_a 4.0744
_cell_length_b 4.0744
_cell_length_c 6.4791
_cell_angle_alpha 90.00
_cell_angle_beta 90.00
_cell_angle_gamma 90.00
_space_group_name_H-M_alt 'P 4/m m m'
_space_group_IT_number 123
_space_group_name_Hall '-P 4 2'
loop_
_atom_site_label
_atom_site_type_symbol
_atom_site_fract_x
_atom_site_fract_y
_atom_site_fract_z
Co1 Co 0.0000 0.0000 0.0000
As1 As 0.0000 0.5000 0.5000
Br1 Br 0.5000 0.5000 0.0000
O1 O 0.5000 0.5000 0.5000